# PWSe2 | Alexandria via LeMat-Bulk | GGA-PBE | optimized geometry
# Final energy (eV per cell): -25.292
# Formation energy without anion corrections (eV/f.u.): 0.040
data_PWSe2
_cell_length_a 9.1321
_cell_length_b 9.1321
_cell_length_c 9.1321
_cell_angle_alpha 20.07
_cell_angle_beta 20.07
_cell_angle_gamma 20.07
_space_group_name_H-M_alt 'P 1'
_space_group_IT_number 1
loop_
_space_group_symop_operation_xyz
'x,y,z'
loop_
_atom_site_label
_atom_site_fract_x
_atom_site_fract_y
_atom_site_fract_z
W1 0.5086 0.5086 0.5086
Se1 0.7759 0.7759 0.7759
Se2 0.9779 0.9779 0.9779
P1 0.2376 0.2376 0.2376